Version a
KP2Cl | PBE | optimized geometry

Cell lengths 3.4579, 3.4579, 7.9777 Å; angles 90.00, 90.00, 90.00 degrees
Fractional coordinates of all 4 atoms:
P (0.5000, 0.5000, 0.1266)
P (0.0000, 0.0000, 0.1510)
Cl (0.0000, 0.0000, 0.5119)
K (0.5000, 0.5000, 0.7105)

Computed properties:
SG: No. 99

***

Version b
KP2Cl | PBE | optimized geometry

Cell lengths 7.3603, 4.3046, 4.3282 Å; angles 89.96, 90.00, 90.00 degrees
Fractional coordinates of all 4 atoms:
K (0.5000, 0.7500, 0.7500)
Cl (0.5000, 0.2500, 0.2500)
P (0.0000, 0.1035, 0.9189)
P (0.0000, 0.3965, 0.5811)

Computed properties:
SG: No. 10

***

Version c
KP2Cl | PBE | optimized geometry

Cell lengths 3.0479, 3.0479, 8.8645 Å; angles 90.00, 90.00, 90.00 degrees
Fractional coordinates of all 4 atoms:
P (0.0000, 0.0000, 0.4670)
P (0.0000, 0.0000, 0.0330)
Cl (0.5000, 0.5000, 0.2500)
K (0.5000, 0.5000, 0.7500)

Computed properties:
SG: No. 123

***

Q: What are the energies relative to the best structure? A: version a 132; version b 0; version c 1245, in meV/atom.

***

Version a
KP2Cl | PBE | optimized geometry

Cell lengths 3.3421, 4.9302, 8.2162 Å; angles 65.54, 90.00, 90.00 degrees
Fractional coordinates of all 4 atoms:
P (0.5000, 0.0907, 0.1665)
P (0.0000, 0.9713, 0.0409)
Cl (0.0000, 0.4501, 0.6739)
K (0.5000, 0.9878, 0.6187)

Computed properties:
SG: No. 6

***

Version b
KP2Cl | PBE | optimized geometry

Cell lengths 4.9583, 4.9583, 4.9583 Å; angles 60.00, 60.00, 60.00 degrees
Fractional coordinates of all 4 atoms:
P (0.2500, 0.2500, 0.2500)
P (0.0000, 0.0000, 0.0000)
K (0.7500, 0.7500, 0.7500)
Cl (0.5000, 0.5000, 0.5000)

Computed properties:
SG: No. 216

***

Q: What are the energies relative to the best structure? A: version a 0; version b 835, in meV/atom.

***

Version a
KP2Cl | PBE | optimized geometry

Cell lengths 3.2057, 3.2057, 8.9688 Å; angles 90.00, 90.00, 110.99 degrees
Fractional coordinates of all 4 atoms:
Cl (0.5000, 0.5000, 0.2500)
P (0.0000, 0.0000, 0.4608)
P (0.0000, 0.0000, 0.0392)
K (0.5000, 0.5000, 0.7500)

Computed properties:
SG: No. 65

***

Version b
KP2Cl | PBE | optimized geometry

Cell lengths 8.2943, 8.2943, 8.2943 Å; angles 25.45, 25.45, 25.45 degrees
Fractional coordinates of all 4 atoms:
K (0.7552, 0.7552, 0.7552)
P (0.9772, 0.9772, 0.9772)
P (0.2628, 0.2628, 0.2628)
Cl (0.5048, 0.5048, 0.5048)

Computed properties:
SG: No. 160

***

Version c
KP2Cl | PBE | optimized geometry

Cell lengths 3.7783, 3.7769, 8.3761 Å; angles 90.00, 90.00, 90.00 degrees
Last column: magnetic moment on the atom in μB.
Fractional coordinates of all 4 atoms:
P (0.5000, 0.5000, 0.0000)  -0.14
P (0.0000, 0.0000, 0.0000)  0.14
Cl (0.5000, 0.0000, 0.5000)  0.00
K (0.0000, 0.5000, 0.5000)  0.00

Computed properties:
SG: No. 123

***

Q: What are the energies relative to the best structure? A: version a 1230; version b 0; version c 401, in meV/atom.

***

Version a
KP2Cl | PBE | optimized geometry

Cell lengths 9.6174, 9.6174, 4.9636 Å; angles 129.69, 129.69, 20.01 degrees
Fractional coordinates of all 4 atoms:
K (0.2500, 0.2500, 0.2500)
Cl (0.7500, 0.7500, 0.7500)
P (0.5321, 0.5321, 0.4324)
P (0.9679, 0.9679, 0.0676)

Computed properties:
SG: No. 12

***

Version b
KP2Cl | PBE | optimized geometry

Cell lengths 9.5695, 9.5695, 9.5695 Å; angles 19.60, 19.60, 19.60 degrees
Fractional coordinates of all 4 atoms:
K (0.7500, 0.7500, 0.7500)
Cl (0.2500, 0.2500, 0.2500)
P (0.9878, 0.9878, 0.9878)
P (0.5122, 0.5122, 0.5122)

Computed properties:
SG: No. 166

***

Q: What are the energies relative to the best structure? A: version a 0; version b 1373, in meV/atom.

***

Version a
KPCl3 | PBE | optimized geometry

Cell lengths 5.0237, 5.0237, 5.0237 Å; angles 90.00, 90.00, 90.00 degrees
Fractional coordinates of all 5 atoms:
K (0.5000, 0.5000, 0.5000)
Cl (0.0000, 0.0000, 0.5000)
Cl (0.5000, 0.0000, 0.0000)
Cl (0.0000, 0.5000, 0.0000)
P (0.0000, 0.0000, 0.0000)

Computed properties:
SG: No. 221

***

Version b
KPCl3 | PBE | optimized geometry

Cell lengths 5.8868, 5.8868, 5.8868 Å; angles 90.00, 90.00, 90.00 degrees
Last column: magnetic moment on the atom in μB.
Fractional coordinates of all 5 atoms:
Cl (0.0000, 0.0000, 0.5000)  -0.36
Cl (0.5000, 0.0000, 0.0000)  -0.35
Cl (0.0000, 0.5000, 0.0000)  -0.26
P (0.5000, 0.5000, 0.5000)  1.02
K (0.0000, 0.0000, 0.0000)  0.00

Computed properties:
SG: No. 221

***

Version c
KPCl3 | PBE | optimized geometry

Cell lengths 5.3896, 8.0475, 9.8142 Å; angles 92.44, 58.53, 99.08 degrees
Fractional coordinates of all 10 atoms:
K (0.4998, 0.9436, 0.0040)
K (0.5059, 0.0185, 0.4938)
Cl (0.1018, 0.7017, 0.7826)
Cl (0.5249, 0.4276, 0.9052)
Cl (0.8820, 0.0085, 0.1442)
Cl (0.8753, 0.1152, 0.6567)
Cl (0.0060, 0.7028, 0.4712)
Cl (0.4256, 0.4251, 0.3749)
P (0.9808, 0.4449, 0.5194)
P (0.9782, 0.4419, 0.7559)

Computed properties:
SG: No. 1

***

Q: What are the energies relative to the best structure? A: version a 232; version b 1372; version c 0, in meV/atom.

***

Version a
KPCl4 | PBE | optimized geometry

Cell lengths 7.9668, 7.9668, 6.6066 Å; angles 127.08, 127.08, 90.00 degrees
Fractional coordinates of all 6 atoms:
Cl (0.4745, 0.5157, 0.6468)
Cl (0.8688, 0.5255, 0.3532)
Cl (0.1723, 0.1312, 0.6468)
Cl (0.4844, 0.8277, 0.3532)
P (0.5000, 0.5000, 0.0000)
K (0.7500, 0.2500, 0.5000)

Computed properties:
SG: No. 82

***

Version b
KPCl4 | PBE | optimized geometry

Cell lengths 6.1372, 6.1372, 6.1372 Å; angles 60.00, 60.00, 60.00 degrees
Last column: magnetic moment on the atom in μB.
Fractional coordinates of all 6 atoms:
Cl (0.3745, 0.3745, 0.8766)  0.39
Cl (0.3745, 0.3745, 0.3745)  0.39
Cl (0.8766, 0.3745, 0.3745)  0.39
Cl (0.3745, 0.8766, 0.3745)  0.39
P (0.0000, 0.0000, 0.0000)  1.03
K (0.7500, 0.7500, 0.7500)  0.01

Computed properties:
SG: No. 216

***

Q: What are the energies relative to the best structure? A: version a 0; version b 1184, in meV/atom.